No. 1
The following is a PBE-GGA calculation of a relaxed PrGdCo crystal, from Alexandria.

As for the total magnetization: 7.6 μB per formula unit. Its energy of formation is 0.0 eV/f.u. The value obtained for the polymorph energy (0 for the lowest one) is 18.7 meV/atom. The value obtained for the density of states at the Fermi level is 6.52 states/eV/cell.

Lattice parameters (Å, degrees): 3.4515 3.4515 12.9923 90.00 90.00 90.00
Space group I4mm (No. 107)
One atom of each set of equivalent atoms:
Pr 0.0000 0.0000 0.0000 [2 per cell]
Gd 0.0000 0.0000 0.2521 [2 per cell]
Co 0.0000 0.0000 0.6322 [2 per cell]

---

No. 2
The following is a PBE-GGA calculation of a relaxed PrGd2Co crystal, from Alexandria.

As for the total magnetization: 14.1 μB per formula unit. Its energy of formation is -0.1 eV/f.u. The value obtained for the polymorph energy (0 for the lowest one) is 28.4 meV/atom. The value obtained for the density of states at the Fermi level is 12.30 states/eV/cell.

Lattice parameters (Å, degrees): 3.7781 3.7781 28.0116 90.00 90.00 120.00
Space group R-3m (No. 166, hexagonal axes)
One atom of each set of equivalent atoms:
Pr 0.0000 0.0000 0.0000 [3 per cell]
Gd 0.0000 0.0000 0.2221 [6 per cell]
Co 0.0000 0.0000 0.5000 [3 per cell]

---

No. 3
The following is a PBE-GGA calculation of a relaxed PrGdCo crystal, from Alexandria.

As for the total magnetization: 7.3 μB per formula unit. Its energy of formation is 0.1 eV/f.u. The value obtained for the polymorph energy (0 for the lowest one) is 44.8 meV/atom. The value obtained for the density of states at the Fermi level is 11.27 states/eV/cell.

Lattice parameters (Å, degrees): 6.7892 6.7892 6.7892 90.00 90.00 90.00
Space group F-43m (No. 216)
One atom of each set of equivalent atoms:
Pr 0.0000 0.0000 0.0000 [4 per cell]
Gd 0.0000 0.0000 0.5000 [4 per cell]
Co 0.2500 0.2500 0.7500 [4 per cell]

---

No. 4
The following is a PBE-GGA calculation of a relaxed PrGdCo crystal, from Alexandria.

As for the total magnetization: 7.3 μB per formula unit. Its energy of formation is -0.1 eV/f.u. The value obtained for the polymorph energy (0 for the lowest one) is 0.0 meV/atom. The value obtained for the density of states at the Fermi level is 2.70 states/eV/cell.

Lattice parameters (Å, degrees): 3.9736 3.9736 6.3151 90.00 90.00 120.00
Space group P3m1 (No. 156)
One atom of each set of equivalent atoms:
Pr 0.0000 0.0000 0.0000 [1 per cell]
Gd 0.3333 0.6667 0.4638 [1 per cell]
Co 0.6667 0.3333 0.2407 [1 per cell]

---

No. 5
The following is a PBE-GGA calculation of a relaxed PrGd2Co crystal, from Alexandria.

As for the total magnetization: 13.4 μB per formula unit. Its energy of formation is -0.2 eV/f.u. The value obtained for the polymorph energy (0 for the lowest one) is 0.0 meV/atom. The value obtained for the density of states at the Fermi level is 4.33 states/eV/cell.

Lattice parameters (Å, degrees): 3.4510 3.4510 9.0725 90.00 90.00 90.00
Space group P4/mmm (No. 123)
One atom of each set of equivalent atoms:
Pr 0.0000 0.0000 0.0000 [1 per cell]
Gd 0.5000 0.5000 0.3213 [2 per cell]
Co 0.0000 0.0000 0.5000 [1 per cell]

---

No. 6
The following is a PBE-GGA calculation of a relaxed PrGdCo4 crystal, from Alexandria.

As for the total magnetization: 3.2 μB per formula unit. Its energy of formation is -0.5 eV/f.u. The value obtained for the density of states at the Fermi level is 37.69 states/eV/cell.

Lattice parameters (Å, degrees): 7.2856 7.2856 7.2856 90.00 90.00 90.00
Space group F-43m (No. 216)
One atom of each set of equivalent atoms:
Pr 0.0000 0.0000 0.0000 [4 per cell]
Gd 0.2500 0.2500 0.7500 [4 per cell]
Co 0.1244 0.1244 0.3756 [16 per cell]

---

No. 7
The following is a PBE-GGA calculation of a relaxed PrGd3Co crystal, from Alexandria.

As for the total magnetization: 22.9 μB per formula unit. Its energy of formation is -0.1 eV/f.u. The value obtained for the density of states at the Fermi level is 5.75 states/eV/cell.

Lattice parameters (Å, degrees): 5.3489 5.3489 5.3489 90.00 90.00 90.00
Space group Pm-3m (No. 221)
One atom of each set of equivalent atoms:
Pr 0.0000 0.0000 0.0000 [1 per cell]
Gd 0.0000 0.5000 0.5000 [3 per cell]
Co 0.5000 0.5000 0.5000 [1 per cell]

---

No. 8
The following is a PBE-GGA calculation of a relaxed PrGdCoPt crystal, from Alexandria.

As for the total magnetization: 6.6 μB per formula unit. Its energy of formation is -2.1 eV/f.u. The value obtained for the density of states at the Fermi level is 12.97 states/eV/cell.

Lattice parameters (Å, degrees): 7.0429 7.0429 7.0429 90.00 90.00 90.00
Space group F-43m (No. 216)
One atom of each set of equivalent atoms:
Pr 0.0000 0.0000 0.0000 [4 per cell]
Gd 0.0000 0.0000 0.5000 [4 per cell]
Co 0.2500 0.2500 0.7500 [4 per cell]
Pt 0.2500 0.2500 0.2500 [4 per cell]

---

No. 9
The following is a PBE-GGA calculation of a relaxed PrGdCoRh crystal, from Alexandria.

As for the total magnetization: 6.4 μB per formula unit. Its energy of formation is -1.3 eV/f.u. The value obtained for the density of states at the Fermi level is 6.07 states/eV/cell.

Lattice parameters (Å, degrees): 6.9701 6.9701 6.9701 90.00 90.00 90.00
Space group F-43m (No. 216)
One atom of each set of equivalent atoms:
Pr 0.0000 0.0000 0.0000 [4 per cell]
Gd 0.0000 0.0000 0.5000 [4 per cell]
Co 0.2500 0.2500 0.7500 [4 per cell]
Rh 0.2500 0.2500 0.2500 [4 per cell]

---

No. 10
The following is a PBE-GGA calculation of a relaxed PrGdCoRu crystal, from Alexandria.

As for the total magnetization: 6.7 μB per formula unit. Its energy of formation is -0.2 eV/f.u. The value obtained for the density of states at the Fermi level is 15.02 states/eV/cell.

Lattice parameters (Å, degrees): 6.9309 6.9309 6.9309 90.00 90.00 90.00
Space group F-43m (No. 216)
One atom of each set of equivalent atoms:
Pr 0.0000 0.0000 0.0000 [4 per cell]
Gd 0.0000 0.0000 0.5000 [4 per cell]
Co 0.2500 0.2500 0.7500 [4 per cell]
Ru 0.2500 0.2500 0.2500 [4 per cell]

---

No. 11
The following is a PBE-GGA calculation of a relaxed PrGdTlCo crystal, from Alexandria.

As for the total magnetization: 8.2 μB per formula unit. Its energy of formation is -0.2 eV/f.u. The value obtained for the density of states at the Fermi level is 10.64 states/eV/cell.

Lattice parameters (Å, degrees): 7.4177 7.4177 7.4177 90.00 90.00 90.00
Space group F-43m (No. 216)
One atom of each set of equivalent atoms:
Pr 0.0000 0.0000 0.0000 [4 per cell]
Gd 0.0000 0.0000 0.5000 [4 per cell]
Tl 0.2500 0.2500 0.2500 [4 per cell]
Co 0.2500 0.2500 0.7500 [4 per cell]

---

No. 12
The following is a PBE-GGA calculation of a relaxed PrGdZnCo crystal, from Alexandria.

As for the total magnetization: 6.7 μB per formula unit. Its energy of formation is -0.5 eV/f.u. The value obtained for the density of states at the Fermi level is 12.66 states/eV/cell.

Lattice parameters (Å, degrees): 7.1025 7.1025 7.1025 90.00 90.00 90.00
Space group F-43m (No. 216)
One atom of each set of equivalent atoms:
Pr 0.0000 0.0000 0.0000 [4 per cell]
Gd 0.0000 0.0000 0.5000 [4 per cell]
Zn 0.2500 0.2500 0.2500 [4 per cell]
Co 0.2500 0.2500 0.7500 [4 per cell]